DFT (GGA+U) results for a relaxed structure of LiCrAsO4.

- crystal system = orthorhombic
- calculated total energy (eV/atom) = -6.4215

Cell lengths 6.1183, 5.9422, 5.9422 Å; angles 61.70, 59.01, 59.01 degrees
With the nearest neighbours (Å) after each atom.
Fractional coordinates of all 14 atoms:
As1 0.3791 0.3709 0.8709  4 O 1.74
As2 0.6209 0.6291 0.1291  4 O 1.74
O1 0.2625 0.2514 0.7514  1 As 1.74
O2 0.7375 0.7486 0.2486  1 As 1.74
O3 0.2551 0.7270 0.7628  1 As 1.74
O4 0.7346 0.2514 0.7514  1 As 1.74
O5 0.7449 0.7372 0.7730  1 As 1.74
O6 0.7449 0.2730 0.2372  1 As 1.74
O7 0.2654 0.7486 0.2486  1 As 1.74
O8 0.2551 0.2628 0.2270  1 As 1.74
Cr1 0.5000 0.0000 0.5000  6 O 2.05-2.24
Cr2 0.0000 0.0000 0.5000  6 O 2.05-2.24
Li1 0.0000 0.5000 0.5000  6 O 2.09-2.22
Li2 0.0000 0.0000 0.0000  6 O 2.09-2.22